[1]
This record from Alexandria describes a relaxed Tl6Pt3I14 crystal. The functional is PBE-GGA.

Values from the calculation:
M_tot: 4.05 μB/cell
volume: 43.57 Å³ per atom
DOS(E_F): 0.076 states/eV/atom
total DFT energy (no corrections): -0.0966 hartree per atom

abc: 7.999 12.028 12.028
angles: 120.00 90.00 90.00
Positions (direct):
I: 0.636 0.747 0.204
Pt: 0.438 0.667 0.333
I: 0.976 0.167 0.954
I: 0.636 0.457 0.253
Tl: 0.789 0.525 0.566
I: 0.976 0.788 0.833
I: 0.242 0.600 0.476
Pt: 0.342 0.333 0.667
I: 0.636 0.796 0.543
I: 0.242 0.524 0.124
Tl: 0.265 0.940 0.723
I: 0.242 0.876 0.400
I: 0.010 0.333 0.667
Tl: 0.789 0.041 0.475
Tl: 0.265 0.277 0.218
I: 0.517 0.553 0.796
Tl: 0.789 0.434 0.959
I: 0.976 0.046 0.212
I: 0.475 0.000 0.000
I: 0.517 0.204 0.757
Pt: 0.807 0.000 0.000
I: 0.517 0.243 0.447
Tl: 0.265 0.782 0.060

---

[2]
This record from Alexandria describes a relaxed Tl3PtI crystal. The functional is PBE-GGA.

Values from the calculation:
M_tot: 0.00 μB/cell
volume: 34.32 Å³ per atom
DOS(E_F): 0.228 states/eV/atom
total DFT energy (no corrections): -0.1140 hartree per atom
relative energy among the computed polymorphs: 0.179 eV per atom

abc: 15.439 9.707 9.707
angles: 82.63 125.50 54.50
Positions (direct):
I: 0.708 0.039 0.133
Tl: 0.570 0.615 0.543
Tl: 0.957 0.722 0.878
I: 0.292 0.961 0.867
Tl: 0.162 0.644 0.639
Pt: 0.750 0.180 0.680
Tl: 0.430 0.385 0.457
I: 0.208 0.367 0.461
Pt: 0.250 0.517 0.017
Pt: 0.250 0.820 0.320
Tl: 0.338 0.139 0.144
I: 0.792 0.633 0.539
Tl: 0.070 0.957 0.885
Tl: 0.457 0.622 0.778
Tl: 0.662 0.861 0.856
Tl: 0.043 0.278 0.122
Tl: 0.838 0.356 0.361
Tl: 0.930 0.043 0.115
Pt: 0.750 0.483 0.983
Tl: 0.543 0.378 0.222

---

[3]
This record from Alexandria describes a relaxed Tl3PtI crystal. The functional is PBE-GGA.

Values from the calculation:
M_tot: 0.00 μB/cell
volume: 30.32 Å³ per atom
DOS(E_F): 0.285 states/eV/atom
total DFT energy (no corrections): -0.1121 hartree per atom
relative energy among the computed polymorphs: 0.231 eV per atom

abc: 5.566 5.566 11.300
angles: 90.00 90.00 120.00
Positions (direct):
Tl: 0.667 0.333 0.541
Tl: 0.000 0.000 0.250
Tl: 0.000 0.000 0.750
Tl: 0.667 0.333 0.959
Tl: 0.333 0.667 0.041
Pt: 0.000 0.000 0.500
Tl: 0.333 0.667 0.459
I: 0.667 0.333 0.250
I: 0.333 0.667 0.750
Pt: 0.000 0.000 0.000

---

[4]
This record from Alexandria describes a relaxed Tl3PtI4 crystal. The functional is PBE-GGA.

Values from the calculation:
M_tot: 0.00 μB/cell
volume: 43.70 Å³ per atom
DOS(E_F): 0.154 states/eV/atom
total DFT energy (no corrections): -0.1028 hartree per atom

abc: 5.644 9.652 12.835
angles: 90.00 90.00 90.00
Positions (direct):
I: 0.939 0.307 0.204
I: 0.939 0.307 0.796
I: 0.940 0.164 0.500
Pt: 0.939 0.354 0.000
Pt: 0.439 0.646 0.500
Tl: 0.939 0.645 0.137
Tl: 0.939 0.645 0.863
Tl: 0.441 0.952 0.500
I: 0.439 0.693 0.704
Tl: 0.439 0.355 0.637
I: 0.439 0.369 0.000
I: 0.939 0.631 0.500
I: 0.440 0.836 0.000
Tl: 0.439 0.355 0.363
I: 0.439 0.693 0.296
Tl: 0.941 0.048 0.000

---

[5]
This record from Alexandria describes a relaxed Tl2PtI8 crystal. The functional is PBE-GGA.

Values from the calculation:
M_tot: 0.00 μB/cell
volume: 51.70 Å³ per atom
total DFT energy (no corrections): -0.0854 hartree per atom

abc: 8.073 8.695 8.695
angles: 68.71 89.89 89.89
Positions (direct):
Tl: 0.649 0.208 0.208
I: 0.700 0.398 0.398
Tl: 0.351 0.792 0.792
I: 0.878 0.915 0.302
I: 0.300 0.602 0.602
I: 0.122 0.085 0.698
I: 0.878 0.302 0.915
I: 0.668 0.870 0.870
I: 0.332 0.130 0.130
Pt: 0.000 0.000 0.000
I: 0.122 0.698 0.085

---

[6]
This record from Alexandria describes a relaxed Tl3PtI crystal. The functional is PBE-GGA.

Values from the calculation:
M_tot: 0.00 μB/cell
volume: 37.50 Å³ per atom
DOS(E_F): 0.381 states/eV/atom
total DFT energy (no corrections): -0.1165 hartree per atom
relative energy among the computed polymorphs: 0.110 eV per atom

abc: 10.198 10.198 10.198
angles: 60.00 60.00 60.00
Positions (direct):
Pt: 0.625 0.625 0.625
Tl: 0.301 0.301 0.699
Pt: 0.625 0.625 0.125
Tl: 0.949 0.551 0.551
I: 0.125 0.125 0.625
Tl: 0.301 0.699 0.301
Tl: 0.301 0.699 0.699
I: 0.625 0.125 0.125
Tl: 0.699 0.301 0.301
Pt: 0.625 0.125 0.625
I: 0.125 0.625 0.125
Tl: 0.551 0.551 0.949
Tl: 0.699 0.699 0.301
Tl: 0.551 0.949 0.949
I: 0.125 0.125 0.125
Tl: 0.949 0.551 0.949
Pt: 0.125 0.625 0.625
Tl: 0.949 0.949 0.551
Tl: 0.551 0.949 0.551
Tl: 0.699 0.301 0.699